# 1
Here is a relaxed structure of Na5LiSn2 from Alexandria. Energies are from PBE-GGA.

Cell lengths 6.593, 12.746, 5.162 Å; angles 90.00, 90.00, 90.00 degrees
Fractional positions:
Na: 0.000 0.000 0.000
Na: 0.133 0.249 0.000
Na: 0.148 0.863 0.500
Na: 0.352 0.363 0.500
Na: 0.367 0.749 0.000
Na: 0.500 0.500 0.000
Na: 0.633 0.251 0.000
Na: 0.648 0.637 0.500
Na: 0.852 0.137 0.500
Na: 0.867 0.751 0.000
Li: 0.000 0.500 0.000
Li: 0.500 0.000 0.000
Sn: 0.142 0.599 0.500
Sn: 0.358 0.099 0.500
Sn: 0.642 0.901 0.500
Sn: 0.858 0.401 0.500

Summary:
Size of the total moment   0.0 Bohr magnetons per cell
Mass density   2.8 g/cm3
Uncorrected energy   -2.193 eV per atom
Calculated formation energy   -1.03 eV per formula unit


# 2
Here is a relaxed structure of NaLi5Sn2 from Alexandria. Energies are from PBE-GGA.

Cell lengths 5.919, 5.919, 5.881 Å; angles 109.70, 109.70, 108.78 degrees
Fractional positions:
Na: 0.000 0.000 0.000
Li: 0.001 0.001 0.501
Li: 0.001 0.500 0.000
Li: 0.500 0.001 0.000
Li: 0.500 0.500 0.499
Li: 0.501 0.501 0.000
Sn: 0.001 0.501 0.500
Sn: 0.501 0.001 0.500

Summary:
Size of the total moment   0.0 Bohr magnetons per cell
Mass density   3.1 g/cm3
Uncorrected energy   -2.613 eV per atom
Calculated formation energy   -2.01 eV per formula unit


# 3
Here is a relaxed structure of Na2LiSn from Alexandria. Energies are from PBE-GGA.

Cell lengths 4.440, 4.440, 5.151 Å; angles 90.00, 90.00, 90.00 degrees
Fractional positions:
Na: 0.000 0.500 0.000
Na: 0.500 0.000 0.000
Li: 0.000 0.000 0.500
Sn: 0.500 0.500 0.500

Summary:
Size of the total moment   0.0 Bohr magnetons per cell
Mass density   2.8 g/cm3
Uncorrected energy   -2.243 eV per atom
Calculated formation energy   -0.42 eV per formula unit


# 4
Here is a relaxed structure of Na2Li3Sn2 from Alexandria. Energies are from PBE-GGA.

Cell lengths 6.111, 6.111, 7.033 Å; angles 113.28, 113.28, 46.65 degrees
Fractional positions:
Na: 0.167 0.167 0.277
Na: 0.833 0.833 0.723
Li: 0.361 0.361 0.051
Li: 0.500 0.500 0.500
Li: 0.639 0.639 0.949
Sn: 0.113 0.113 0.711
Sn: 0.887 0.887 0.289

Summary:
Size of the total moment   0.0 Bohr magnetons per cell
Mass density   2.9 g/cm3
Uncorrected energy   -2.591 eV per atom
Calculated formation energy   -1.75 eV per formula unit


# 5
Here is a relaxed structure of NaLi2TcSn from Alexandria. Energies are from PBE-GGA.

Cell lengths 5.027, 5.027, 5.135 Å; angles 90.00, 90.00, 90.00 degrees
Fractional positions:
Na: 0.000 0.000 0.000
Li: 0.000 0.500 0.500
Li: 0.500 0.000 0.500
Tc: 0.500 0.500 0.500
Sn: 0.500 0.500 0.000

Summary:
Size of the total moment   0.9 Bohr magnetons per cell
Mass density   3.2 g/cm3
Uncorrected energy   -3.406 eV per atom
Calculated formation energy   2.49 eV per formula unit


# 6
Here is a relaxed structure of Na2LiSnTe4 from Alexandria. Energies are from PBE-GGA.

Cell lengths 6.792, 6.792, 6.792 Å; angles 107.52, 107.52, 113.44 degrees
Fractional positions:
Na: 0.000 0.500 0.500
Na: 0.500 0.000 0.500
Li: 0.000 0.000 0.000
Sn: 0.500 0.500 0.000
Te: 0.074 0.074 0.613
Te: 0.460 0.460 0.387
Te: 0.540 0.926 0.000
Te: 0.926 0.540 0.000

Summary:
Size of the total moment   0.0 Bohr magnetons per cell
Mass density   4.7 g/cm3
Formation energy from raw total energies   -12.299 kcal/mol of atoms
Uncorrected energy   -3.174 eV per atom